Record 1
This record from the Alexandria database describes a relaxed structure of PrMgP2O8. The functional is PBE.

CIF file:
```
data_PrMgP2O8
_chemical_formula_sum 'Pr1 Mg1 P2 O8'
_cell_length_a 5.1591
_cell_length_b 5.1591
_cell_length_c 6.8884
_cell_angle_alpha 90.00
_cell_angle_beta 90.00
_cell_angle_gamma 120.00
_space_group_name_H-M_alt 'P -3 m 1'
_space_group_IT_number 164
_space_group_name_Hall '-P 3 2"'
loop_
_atom_site_label
_atom_site_type_symbol
_atom_site_fract_x
_atom_site_fract_y
_atom_site_fract_z
_atom_site_occupancy
Pr1 Pr 0.0000 0.0000 0.0000 1
Mg1 Mg 0.0000 0.0000 0.5000 1
P1 P 0.3333 0.6667 0.7725 1
O1 O 0.1697 0.3393 0.7018 1
O2 O 0.3333 0.6667 0.9977 1
```

## Properties
energy relative to the elements, uncorrected: -2539 meV/atom
DFT total energy: -7.278 eV/atom
volume: 13.23 Å³/atom


Record 2
This record from the Alexandria database describes a relaxed structure of MgP2PtO. The functional is PBE.

CIF file:
```
data_MgP2PtO
_chemical_formula_sum 'Mg1 P2 Pt1 O1'
_cell_length_a 4.924
_cell_length_b 4.924
_cell_length_c 3.783
_cell_angle_alpha 90.00
_cell_angle_beta 90.00
_cell_angle_gamma 90.00
_space_group_name_H-M_alt 'P 4/m m m'
_space_group_IT_number 123
_space_group_name_Hall '-P 4 2'
loop_
_atom_site_label
_atom_site_type_symbol
_atom_site_fract_x
_atom_site_fract_y
_atom_site_fract_z
_atom_site_occupancy
Mg1 Mg 0.000 0.000 0.000 1
P1 P 0.000 0.500 0.500 1
Pt1 Pt 0.500 0.500 0.500 1
O1 O 0.500 0.500 0.000 1
```

## Properties
ΔE to the lowest computed polymorph: 0.00 eV per formula unit
energy relative to the elements, uncorrected: 211 meV/atom
DFT total energy: -4.472 eV/atom
volume: 18.34 Å³/atom


Record 3
This record from the Alexandria database describes a relaxed structure of MgP2PtO. The functional is PBE.

CIF file:
```
data_MgP2PtO
_chemical_formula_sum 'Mg1 P2 Pt1 O1'
_cell_length_a 4.861
_cell_length_b 4.861
_cell_length_c 3.543
_cell_angle_alpha 90.00
_cell_angle_beta 90.00
_cell_angle_gamma 90.00
_space_group_name_H-M_alt 'P 4/m m m'
_space_group_IT_number 123
_space_group_name_Hall '-P 4 2'
loop_
_atom_site_label
_atom_site_type_symbol
_atom_site_fract_x
_atom_site_fract_y
_atom_site_fract_z
_atom_site_occupancy
Mg1 Mg 0.000 0.000 0.000 1
P1 P 0.000 0.500 0.000 1
Pt1 Pt 0.500 0.500 0.500 1
O1 O 0.000 0.000 0.500 1
```

## Properties
ΔE to the lowest computed polymorph: 1.42 eV per formula unit
energy relative to the elements, uncorrected: 495 meV/atom
DFT total energy: -4.188 eV/atom
volume: 16.74 Å³/atom